! CaZnPb PBEsol optimized geometry; values from VASP
&SYSTEM
  ibrav = 0, nat = 6, ntyp = 3
/
ATOMIC_SPECIES
Pb 207.20 Pb.upf
Zn 65.41 Zn.upf
Ca 40.08 Ca.upf
ATOMIC_POSITIONS crystal
Pb 0.3333 0.6667 0.4637
Pb 0.6667 0.3333 0.9637
Zn 0.3333 0.6667 0.0577
Zn 0.6667 0.3333 0.5577
Ca 0.0000 0.0000 0.2445
Ca 0.0000 0.0000 0.7445
CELL_PARAMETERS angstrom
-1.1897 -4.5395 0.2323
1.9299 2.1165 3.7246
-6.8429 1.9190 2.4552
! raw total energy = -2.98 eV/atom
! formation energy = -0.41 eV per atom


! ZrRu2Rh PBEsol optimized geometry; values from VASP
&SYSTEM
  ibrav = 0, nat = 4, ntyp = 3
/
ATOMIC_SPECIES
Rh 102.91 Rh.upf
Ru 101.07 Ru.upf
Zr 91.22 Zr.upf
ATOMIC_POSITIONS crystal
Rh 0.7441 0.2446 0.4877
Ru 0.9978 0.9767 0.9960
Ru 0.2582 0.7886 0.5164
Zr 0.4999 0.4900 0.9999
CELL_PARAMETERS angstrom
-1.9600 -0.0773 -2.0578
-3.1937 -1.5942 3.1046
0.4005 4.5510 1.4098
! raw total energy = -9.57 eV/atom
! formation energy = -0.17 eV per atom


! CaZn2Te PBEsol optimized geometry; values from VASP
&SYSTEM
  ibrav = 0, nat = 4, ntyp = 3
/
ATOMIC_SPECIES
Zn 65.41 Zn.upf
Te 127.60 Te.upf
Ca 40.08 Ca.upf
ATOMIC_POSITIONS crystal
Zn 0.0000 0.5000 0.0000
Zn 0.5000 0.0000 0.0000
Te 0.0000 0.0000 0.5000
Ca 0.5000 0.5000 0.5000
CELL_PARAMETERS angstrom
-2.4599 -3.5030 -0.1926
3.4167 -2.4455 0.8395
-0.9069 0.3740 4.7808
! raw total energy = -2.60 eV/atom


! AgSnO3 PBEsol optimized geometry; values from VASP
&SYSTEM
  ibrav = 0, nat = 10, ntyp = 3
/
ATOMIC_SPECIES
Ag 107.87 Ag.upf
Sn 118.71 Sn.upf
O 16.00 O.upf
ATOMIC_POSITIONS crystal
Ag 0.0000 0.0000 0.0000
Ag 0.0000 0.5000 0.5000
Sn 0.5000 0.0000 0.5000
Sn 0.5000 0.5000 0.0000
O 0.0000 0.6760 0.9385
O 0.0000 0.9385 0.6760
O 0.5000 0.3350 0.6650
O 0.5000 0.6650 0.3350
O 0.0000 0.0615 0.3240
O 0.0000 0.3240 0.0615
CELL_PARAMETERS angstrom
-3.0140 -1.0821 -0.3651
1.4780 -2.1027 -5.9690
1.1687 -4.7125 4.3199
! raw total energy = -5.63 eV/atom


! Mn2CoReIr PBEsol optimized geometry; values from VASP
&SYSTEM
  ibrav = 0, nat = 5, ntyp = 4
/
ATOMIC_SPECIES
Re 186.21 Re.upf
Ir 192.22 Ir.upf
Co 58.93 Co.upf
Mn 54.94 Mn.upf
ATOMIC_POSITIONS crystal
Re 0.5000 0.5000 0.5000
Ir 0.0000 0.0000 0.0000
Co 0.5000 0.0000 0.0000
Mn 0.0000 0.0000 0.5000
Mn 0.0000 0.5000 0.0000
CELL_PARAMETERS angstrom
-3.4787 2.6242 0.3815
-2.5212 -3.5185 1.2132
1.0347 0.7449 4.3108
! raw total energy = -8.10 eV/atom
! formation energy = 1.98 eV per atom


! Ba3CaSe PBEsol optimized geometry; values from VASP
&SYSTEM
  ibrav = 0, nat = 5, ntyp = 3
/
ATOMIC_SPECIES
Ca 40.08 Ca.upf
Ba 137.33 Ba.upf
Se 78.96 Se.upf
ATOMIC_POSITIONS crystal
Ca 0.5000 0.5000 0.5000
Ba 0.0000 0.5000 0.0000
Ba 0.0000 0.0000 0.5000
Ba 0.5000 0.0000 0.0000
Se 0.0000 0.0000 0.0000
CELL_PARAMETERS angstrom
-5.6391 1.2243 2.6400
-0.7794 -6.1819 1.2020
2.8038 0.7439 5.6438
! raw total energy = -3.17 eV/atom


! LiHfOs3 PBEsol optimized geometry; values from VASP
&SYSTEM
  ibrav = 0, nat = 5, ntyp = 3
/
ATOMIC_SPECIES
Hf 178.49 Hf.upf
Os 190.23 Os.upf
Li 6.94 Li.upf
ATOMIC_POSITIONS crystal
Hf 0.0000 0.0000 0.0000
Os 0.0000 0.5000 0.0000
Os 0.0000 0.0000 0.5000
Os 0.5000 0.0000 0.0000
Li 0.5000 0.5000 0.5000
CELL_PARAMETERS angstrom
-2.1119 -2.7118 -3.3284
-2.6520 -2.0930 3.3880
-3.3763 3.3403 -0.5792
! raw total energy = -7.52 eV/atom
! formation energy = 2.30 eV per atom


! CdCo2IrPb PBEsol optimized geometry; values from VASP
&SYSTEM
  ibrav = 0, nat = 5, ntyp = 4
/
ATOMIC_SPECIES
Pb 207.20 Pb.upf
Ir 192.22 Ir.upf
Co 58.93 Co.upf
Cd 112.41 Cd.upf
ATOMIC_POSITIONS crystal
Pb 0.0000 0.0000 0.0000
Ir 0.0000 0.0000 0.5000
Co 0.0000 0.5000 0.0000
Co 0.5000 0.0000 0.0000
Cd 0.5000 0.5000 0.5000
CELL_PARAMETERS angstrom
-4.3891 -1.3464 -0.8259
0.8065 -4.0073 2.2472
-1.4470 2.1005 4.2650
! raw total energy = -4.35 eV/atom
! formation energy = 1.75 eV per atom


! TlSi2SbRh PBEsol optimized geometry; values from VASP
&SYSTEM
  ibrav = 0, nat = 5, ntyp = 4
/
ATOMIC_SPECIES
Sb 121.76 Sb.upf
Tl 204.38 Tl.upf
Rh 102.91 Rh.upf
Si 28.09 Si.upf
ATOMIC_POSITIONS crystal
Sb 0.0000 0.0000 0.5000
Tl 0.0000 0.0000 0.0000
Rh 0.5000 0.5000 0.5000
Si 0.0000 0.5000 0.0000
Si 0.5000 0.0000 0.0000
CELL_PARAMETERS angstrom
-3.7491 2.6013 1.7599
0.7511 -1.9185 4.4357
3.4689 4.1752 1.2184
! raw total energy = -3.58 eV/atom


! Li3SiH PBEsol optimized geometry; values from VASP
&SYSTEM
  ibrav = 0, nat = 5, ntyp = 3
/
ATOMIC_SPECIES
H 1.01 H.upf
Si 28.09 Si.upf
Li 6.94 Li.upf
ATOMIC_POSITIONS crystal
H 0.0000 0.0000 0.0000
Si 0.5000 0.5000 0.5000
Li 0.0000 0.5000 0.0000
Li 0.0000 0.0000 0.5000
Li 0.5000 0.0000 0.0000
CELL_PARAMETERS angstrom
-0.9219 2.4136 -2.8786
1.5810 -2.4395 -2.5517
-3.4077 -1.7848 -0.4051
! raw total energy = -3.17 eV/atom


! Re3P PBEsol optimized geometry; values from VASP
&SYSTEM
  ibrav = 0, nat = 4, ntyp = 2
/
ATOMIC_SPECIES
Re 186.21 Re.upf
P 30.97 P.upf
ATOMIC_POSITIONS crystal
Re 0.0000 0.0000 0.5000
Re 0.3333 0.6667 0.7799
Re 0.3333 0.6667 0.2201
P 0.0000 0.0000 0.0000
CELL_PARAMETERS angstrom
-0.0159 -2.6430 -1.2214
1.7733 0.5575 2.2410
-5.4350 -2.2086 4.8500
! raw total energy = -11.61 eV/atom
! formation energy = -0.16 eV per atom
! E above lowest polymorph = 0.0000 eV/atom


! IrAuOF2 PBEsol optimized geometry; values from VASP
&SYSTEM
  ibrav = 0, nat = 5, ntyp = 4
/
ATOMIC_SPECIES
Ir 192.22 Ir.upf
Au 196.97 Au.upf
O 16.00 O.upf
F 19.00 F.upf
ATOMIC_POSITIONS crystal
Ir 0.5000 0.5000 0.5000
Au 0.0000 0.0000 0.0000
O 0.5000 0.0000 0.0000
F 0.0000 0.0000 0.5000
F 0.0000 0.5000 0.0000
CELL_PARAMETERS angstrom
-2.1819 -0.8969 -3.2715
-1.6039 -3.3761 1.9953
-3.1821 2.3803 1.4697
! raw total energy = -3.77 eV/atom


! Ir2NCl PBEsol optimized geometry; values from VASP
&SYSTEM
  ibrav = 0, nat = 8, ntyp = 3
/
ATOMIC_SPECIES
N 14.01 N.upf
Ir 192.22 Ir.upf
Cl 35.45 Cl.upf
ATOMIC_POSITIONS crystal
N 0.7500 0.2500 0.5000
N 0.5000 0.5000 0.0000
Ir 0.7737 0.3750 0.2500
Ir 0.4763 0.8750 0.2500
Ir 0.6250 0.5237 0.7500
Ir 0.1250 0.2263 0.7500
Cl 0.2500 0.7500 0.5000
Cl 0.0000 0.0000 0.0000
CELL_PARAMETERS angstrom
4.7473 0.0000 0.0000
0.0000 4.7473 0.0000
-2.3737 -2.3737 5.5455
! raw total energy = -6.77 eV/atom


! AlFe2W PBEsol optimized geometry; values from VASP
&SYSTEM
  ibrav = 0, nat = 4, ntyp = 3
/
ATOMIC_SPECIES
Fe 55.84 Fe.upf
W 183.84 W.upf
Al 26.98 Al.upf
ATOMIC_POSITIONS crystal
Fe 0.0000 0.0000 0.0000
Fe 0.2500 0.2500 0.2500
W 0.7500 0.7500 0.7500
Al 0.5000 0.5000 0.5000
CELL_PARAMETERS angstrom
-3.7315 1.2550 -1.3041
-2.1005 -2.2668 -2.7657
-3.4051 -2.0607 1.1656
! raw total energy = -8.89 eV/atom
! formation energy = 0.06 eV per atom


! La2YMo2 PBEsol optimized geometry; values from VASP
&SYSTEM
  ibrav = 0, nat = 5, ntyp = 3
/
ATOMIC_SPECIES
Y 88.91 Y.upf
Mo 95.94 Mo.upf
La 138.91 La.upf
ATOMIC_POSITIONS crystal
Y 0.0000 0.0000 0.0000
Mo 0.4088 0.4088 0.8175
Mo 0.5912 0.5912 0.1825
La 0.2500 0.7500 0.5000
La 0.7500 0.2500 0.5000
CELL_PARAMETERS angstrom
4.5618 0.0000 0.0000
0.0000 4.5618 0.0000
-2.2809 -2.2809 6.1213
! raw total energy = -7.59 eV/atom
! formation energy = 0.62 eV per atom


! CaPd PBEsol optimized geometry; values from VASP
&SYSTEM
  ibrav = 0, nat = 2, ntyp = 2
/
ATOMIC_SPECIES
Ca 40.08 Ca.upf
Pd 106.42 Pd.upf
ATOMIC_POSITIONS crystal
Ca 0.0000 0.0000 0.0000
Pd 0.5000 0.5000 0.5000
CELL_PARAMETERS angstrom
-3.3926 -0.0966 -0.6977
0.6649 -1.5717 -3.0156
-0.2324 -3.0865 1.5574
! raw total energy = -4.66 eV/atom
! formation energy = -0.61 eV per atom


! NaNdNb4O12 PBEsol optimized geometry; values from VASP
&SYSTEM
  ibrav = 0, nat = 18, ntyp = 4
/
ATOMIC_SPECIES
Na 22.99 Na.upf
Nd 144.24 Nd.upf
Nb 92.91 Nb.upf
O 16.00 O.upf
ATOMIC_POSITIONS crystal
Na 0.0000 0.0000 0.0000
Nd 0.5000 0.5000 0.0000
Nb 0.3715 0.8715 0.7431
Nb 0.8715 0.3715 0.7431
Nb 0.1285 0.6285 0.2569
Nb 0.6285 0.1285 0.2569
O 0.1449 0.1449 0.7746
O 0.6297 0.6297 0.7746
O 0.8551 0.8551 0.2254
O 0.3703 0.3703 0.2254
O 0.6297 0.1449 0.7746
O 0.1449 0.6297 0.7746
O 0.3703 0.8551 0.2254
O 0.8551 0.3703 0.2254
O 0.2500 0.7500 0.5000
O 0.7500 0.2500 0.5000
O 0.5000 0.0000 0.0000
O 0.0000 0.5000 0.0000
CELL_PARAMETERS angstrom
-3.6897 -2.9341 2.9673
0.7007 -4.3402 -3.4205
7.3666 0.9358 4.8571
! raw total energy = -8.90 eV/atom


! Pr3Cu4Sn4 PBEsol optimized geometry; values from VASP
&SYSTEM
  ibrav = 0, nat = 11, ntyp = 3
/
ATOMIC_SPECIES
Pr 140.91 Pr.upf
Cu 63.55 Cu.upf
Sn 118.71 Sn.upf
ATOMIC_POSITIONS crystal
Pr 0.0000 0.5000 0.0000
Pr 0.1335 0.1335 0.2669
Pr 0.8665 0.8665 0.7331
Cu 0.6679 0.4850 0.3359
Cu 0.6679 0.8508 0.3359
Cu 0.3321 0.1492 0.6641
Cu 0.3321 0.5150 0.6641
Sn 0.5000 0.2011 0.0000
Sn 0.5000 0.7989 0.0000
Sn 0.2164 0.7164 0.4328
Sn 0.7836 0.2836 0.5672
CELL_PARAMETERS angstrom
-1.6956 4.0716 1.1314
-5.3402 -1.0334 -4.2842
-0.3285 -4.6639 7.1295
! raw total energy = -5.09 eV/atom
! formation energy = -0.56 eV per atom


! Mg2ScAs PBEsol optimized geometry; values from VASP
&SYSTEM
  ibrav = 0, nat = 4, ntyp = 3
/
ATOMIC_SPECIES
As 74.92 As.upf
Mg 24.30 Mg.upf
Sc 44.96 Sc.upf
ATOMIC_POSITIONS crystal
As 0.5000 0.5000 0.7155
Mg 0.0000 0.0000 0.0024
Mg 0.5000 0.5000 0.2513
Sc 0.0000 0.0000 0.5309
CELL_PARAMETERS angstrom
-2.4967 0.0847 -2.6434
1.3732 -3.0653 -1.3951
-3.8047 -3.2920 3.4882
! raw total energy = -4.22 eV/atom
! formation energy = -0.44 eV per atom


! Na2Ca2Br PBEsol optimized geometry; values from VASP
&SYSTEM
  ibrav = 0, nat = 5, ntyp = 3
/
ATOMIC_SPECIES
Na 22.99 Na.upf
Ca 40.08 Ca.upf
Br 79.90 Br.upf
ATOMIC_POSITIONS crystal
Na 0.4141 0.4141 0.8281
Na 0.5859 0.5859 0.1719
Ca 0.2500 0.7500 0.5000
Ca 0.7500 0.2500 0.5000
Br 0.0000 0.0000 0.0000
CELL_PARAMETERS angstrom
4.5804 0.0000 0.0000
0.0000 4.5804 0.0000
-2.2902 -2.2902 9.5512
! raw total energy = -1.92 eV/atom


! LiTePt2 PBEsol optimized geometry; values from VASP
&SYSTEM
  ibrav = 0, nat = 4, ntyp = 3
/
ATOMIC_SPECIES
Li 6.94 Li.upf
Pt 195.08 Pt.upf
Te 127.60 Te.upf
ATOMIC_POSITIONS crystal
Li 0.2534 0.7762 0.5069
Pt 0.0041 0.9702 0.0082
Pt 0.7523 0.2825 0.5046
Te 0.4902 0.4711 0.9804
CELL_PARAMETERS angstrom
3.7678 0.0000 0.0000
0.0000 4.1237 -0.0417
-1.8839 -1.5706 4.1820
! raw total energy = -5.21 eV/atom


! La2NiTe PBEsol optimized geometry; values from VASP
&SYSTEM
  ibrav = 0, nat = 4, ntyp = 3
/
ATOMIC_SPECIES
La 138.91 La.upf
Ni 58.69 Ni.upf
Te 127.60 Te.upf
ATOMIC_POSITIONS crystal
La 0.0000 0.0000 0.7772
La 0.0000 0.0000 0.2228
Ni 0.5000 0.5000 0.0000
Te 0.5000 0.5000 0.5000
CELL_PARAMETERS angstrom
-0.1733 1.2301 3.5001
0.1083 -3.5008 1.2357
7.3032 0.3146 0.2511
! raw total energy = -5.81 eV/atom


! SiC2F PBEsol optimized geometry; values from VASP
&SYSTEM
  ibrav = 0, nat = 4, ntyp = 3
/
ATOMIC_SPECIES
Si 28.09 Si.upf
C 12.01 C.upf
F 19.00 F.upf
ATOMIC_POSITIONS crystal
Si 0.5000 0.5000 0.5000
C 0.2500 0.2500 0.2500
C 0.7500 0.7500 0.7500
F 0.0000 0.0000 0.0000
CELL_PARAMETERS angstrom
-2.3878 0.8648 -2.6102
0.6590 -0.9423 -3.4555
-1.9867 -2.6072 -1.5870
! raw total energy = -5.01 eV/atom


! In2BrCl PBEsol optimized geometry; values from VASP
&SYSTEM
  ibrav = 0, nat = 4, ntyp = 3
/
ATOMIC_SPECIES
In 114.82 In.upf
Br 79.90 Br.upf
Cl 35.45 Cl.upf
ATOMIC_POSITIONS crystal
In 0.0000 0.0000 0.5000
In 0.0000 0.5000 0.0000
Br 0.5000 0.5000 0.5000
Cl 0.5000 0.0000 0.0000
CELL_PARAMETERS angstrom
3.8075 -0.0567 -0.0562
0.0887 5.3538 -0.0218
0.0887 0.0214 5.3538
! raw total energy = -3.10 eV/atom
! E above lowest polymorph = 0.0450 eV/atom


! Zn4CdAu PBEsol optimized geometry; values from VASP
&SYSTEM
  ibrav = 0, nat = 6, ntyp = 3
/
ATOMIC_SPECIES
Zn 65.41 Zn.upf
Au 196.97 Au.upf
Cd 112.41 Cd.upf
ATOMIC_POSITIONS crystal
Zn 0.3754 0.3754 0.3754
Zn 0.3754 0.3754 0.8739
Zn 0.8739 0.3754 0.3754
Zn 0.3754 0.8739 0.3754
Au 0.7500 0.7500 0.7500
Cd 0.0000 0.0000 0.0000
CELL_PARAMETERS angstrom
5.0602 0.0000 0.0000
2.5301 4.3823 0.0000
2.5301 1.4608 4.1316
! raw total energy = -1.95 eV/atom
! formation energy = -0.04 eV per atom


! BaSr2P PBEsol optimized geometry; values from VASP
&SYSTEM
  ibrav = 0, nat = 4, ntyp = 3
/
ATOMIC_SPECIES
Sr 87.62 Sr.upf
Ba 137.33 Ba.upf
P 30.97 P.upf
ATOMIC_POSITIONS crystal
Sr 0.0000 0.1504 0.3007
Sr 0.0000 0.8496 0.6993
Ba 0.5000 0.5000 0.0000
P 0.5000 0.0000 0.0000
CELL_PARAMETERS angstrom
-0.6827 4.2706 -0.1751
-4.2535 -0.8747 -4.7487
-2.8087 -0.1658 6.9063
! raw total energy = -3.45 eV/atom
! formation energy = -0.55 eV per atom


! AsOsCl2 PBEsol optimized geometry; values from VASP
&SYSTEM
  ibrav = 0, nat = 4, ntyp = 3
/
ATOMIC_SPECIES
As 74.92 As.upf
Os 190.23 Os.upf
Cl 35.45 Cl.upf
ATOMIC_POSITIONS crystal
As 0.5000 0.0000 0.0000
Os 0.5000 0.5000 0.5000
Cl 0.0000 0.0000 0.5000
Cl 0.0000 0.5000 0.0000
CELL_PARAMETERS angstrom
-3.7877 0.2667 0.7378
-0.7847 -2.5422 -3.1094
0.2705 -3.1945 2.5435
! raw total energy = -4.14 eV/atom
! E above lowest polymorph = 1.0499 eV/atom


! NbAl2BCl PBEsol optimized geometry; values from VASP
&SYSTEM
  ibrav = 0, nat = 5, ntyp = 4
/
ATOMIC_SPECIES
Nb 92.91 Nb.upf
B 10.81 B.upf
Al 26.98 Al.upf
Cl 35.45 Cl.upf
ATOMIC_POSITIONS crystal
Nb 0.5000 0.5000 0.5000
B 0.5000 0.0000 0.0000
Al 0.0000 0.0000 0.5000
Al 0.0000 0.5000 0.0000
Cl 0.0000 0.0000 0.0000
CELL_PARAMETERS angstrom
3.9069 0.0000 0.0000
0.0000 4.5443 0.0000
0.0000 0.0000 4.5443
! raw total energy = -4.41 eV/atom